Here is a relaxed structure of CsTa4Ru2 from Alexandria. Energies are from PBE.

```
7
Lattice="-2.488 2.488 6.490 2.488 -2.488 6.490 2.488 2.488 -6.490" Properties=species:S:1:pos:R:3 pbc="T T T"
Cs 0.000 0.000 0.000
Ta 2.488 0.000 0.000
Ta 0.000 0.000 2.769
Ta 0.000 2.488 0.000
Ta 0.000 0.000 10.212
Ru 0.000 0.000 5.084
Ru 0.000 0.000 7.897
```

Computed properties:
VASP energy: -7.214 eV per atom
ΔE_f: 2.3308 eV/atom
DOS at the Fermi energy: 8.61 states/eV/cell

=====

Here is a relaxed structure of CsTa2Ru from Alexandria. Energies are from PBE.

```
8
Lattice="-2.757 2.757 8.388 2.757 -2.757 8.388 2.757 2.757 -8.388" Properties=species:S:1:pos:R:3 pbc="T T T"
Cs 0.000 0.000 0.000
Cs 0.000 2.757 4.194
Ta 1.379 -0.143 6.291
Ta 2.614 1.379 2.097
Ta 1.379 2.901 -2.097
Ta 0.143 1.379 10.485
Ru 2.757 0.000 4.194
Ru 0.000 0.000 8.388
```

Computed properties:
VASP energy: -6.808 eV per atom
ΔE_f: 1.6502 eV/atom
E above lowest polymorph: 0.1204 eV per atom
DOS at the Fermi energy: 11.06 states/eV/cell

=====

Here is a relaxed structure of Cs2TaVRu from Alexandria. Energies are from PBE.

```
5
Lattice="6.593 0.000 0.000 0.000 6.593 0.000 0.000 0.000 4.208" Properties=species:S:1:pos:R:3 pbc="T T T"
Cs 0.000 3.297 0.000
Cs 3.297 0.000 0.000
Ta 0.000 0.000 2.104
V 3.297 3.297 0.000
Ru 3.297 3.297 2.104
```

Computed properties:
VASP energy: -4.201 eV per atom
ΔE_f: 2.1900 eV/atom
DOS at the Fermi energy: 8.17 states/eV/cell